No. 1
Here is a relaxed MgAgAs crystal from Alexandria. Energies are from PBE-GGA.

Calculated values
M_tot (μB per atom): 0.0000
Electronic total energy (hartree per atom): -0.1217

a b c (Å): 4.5223 4.5217 7.6890
angles (deg): 72.84 89.99 120.01
Closest atoms and distances in Å follow each position.
Positions (direct):
As  0.1886  0.5440  0.3984  4 Mg 2.68-2.73, 4 Ag 2.75-2.85
As  0.6776  0.5208  0.9363  4 Mg 2.68-2.74, 4 Ag 2.75-2.85
Mg  0.5500  0.2667  0.3147  4 As 2.68-2.74
Mg  0.3161  0.7980  0.0200  4 As 2.68-2.73
Ag  0.0633  0.2924  0.7794  4 As 2.75-2.85, 3 Ag 3.07-3.08
Ag  0.8031  0.7730  0.5553  4 As 2.75-2.85, 3 Ag 3.07-3.08

No. 2
Here is a relaxed MgAgAs crystal from Alexandria. Energies are from PBE-GGA.

Calculated values
M_tot (μB per atom): 0.0000
Electronic total energy (hartree per atom): -0.1171

a b c (Å): 7.1290 7.0410 4.8657
angles (deg): 90.00 90.00 90.00
Closest atoms and distances in Å follow each position.
Positions (direct):
As  0.2021  0.7500  0.5733  3 Ag 2.63-2.65, 2 Mg 2.78
As  0.7979  0.2500  0.4267  3 Ag 2.63-2.65, 2 Mg 2.78
As  0.7021  0.7500  0.9267  3 Ag 2.63-2.65, 2 Mg 2.78
As  0.2979  0.2500  0.0733  3 Ag 2.63-2.65, 2 Mg 2.78
Ag  0.1530  0.2500  0.5713  3 As 2.63-2.65, 2 Mg 2.94
Ag  0.6530  0.2500  0.9287  3 As 2.63-2.65, 2 Mg 2.94
Ag  0.3470  0.7500  0.0713  3 As 2.63-2.65, 2 Mg 2.94
Ag  0.8470  0.7500  0.4287  3 As 2.63-2.65, 2 Mg 2.94
Mg  0.5000  0.5000  0.5000  4 As 2.78-3.08, 4 Ag 2.94-3.06
Mg  0.0000  0.0000  0.0000  4 As 2.78-3.08, 4 Ag 2.94-3.06
Mg  0.5000  0.0000  0.5000  4 As 2.78-3.08, 4 Ag 2.94-3.06
Mg  0.0000  0.5000  0.0000  4 As 2.78-3.08, 4 Ag 2.94-3.06